This record from Alexandria via LeMat-Bulk describes a relaxed structure of InSi4Br. The functional is PBE.

It has space group F-43m (No. 216), with a = 7.720 Å, b = 7.720 Å, c = 7.720 Å, α = 90.00°, β = 90.00° and γ = 90.00°. The asymmetric unit holds In at (0.000, 0.000, 0.000), Si at (0.125, 0.125, 0.625) and Br at (0.250, 0.250, 0.250).

As for the raw formation energy: 520 meV per atom. The total magnetization is 0.0 μB per formula unit. The density is 4.433 Mg/m³. The value obtained for the uncorrected energy is -91.94 eV for the cell shown.